Pm5Cd4Au: optimized geometry, PBE-GGA. Values from VASP.

Quantum ESPRESSO input file:
```
&SYSTEM
  ibrav = 0, nat = 10, ntyp = 3
/
ATOMIC_SPECIES
Cd 112.41 Cd.upf
Pm 145.00 Pm.upf
Au 196.97 Au.upf
CELL_PARAMETERS angstrom
3.789 0.000 0.000
0.000 3.789 0.000
0.000 0.000 19.114
ATOMIC_POSITIONS crystal
Cd 0.000 0.000 0.602
Cd 0.000 0.000 0.803
Cd 0.000 0.000 0.197
Cd 0.000 0.000 0.398
Pm 0.500 0.500 0.704
Pm 0.500 0.500 0.908
Pm 0.500 0.500 0.296
Pm 0.500 0.500 0.500
Pm 0.500 0.500 0.092
Au 0.000 0.000 0.000
```

Properties
Formation energy from the elements = -4.121 eV/f.u.
VASP energy = -3.481 eV/atom
M_tot = 0.064 μB/atom